The following is a GGA-PBE calculation of a relaxed PmAgBrO2 crystal, from Alexandria via LeMat-Bulk.

Output
DFT total energy = -5.4553 eV/atom
N(E_F) = 9.14 states/eV/cell
ΔE_f (raw) = -1.62 eV per atom
V = 20.42 Å³ per atom

Cell lengths 5.789, 12.381, 5.697 Å; angles 90.00, 90.00, 90.00 degrees
Space group Cmcm (No. 63)
Inequivalent atoms, fractional coordinates:
1 Pm 0.000 0.103 0.250 [4 per cell]
2 Ag 0.000 0.464 0.250 [4 per cell]
3 Br 0.000 0.254 0.750 [4 per cell]
4 O 0.224 0.000 0.000 [8 per cell]